1.
Ce4AuC2: optimized geometry, PBE.

Structure (extended XYZ):
```
14
Lattice="3.7084 0.0000 0.0000 -1.8542 6.0877 0.0000 0.0000 0.0000 13.3541" Properties=species:S:1:pos:R:3 pbc="T T T"
C 0.0000 1.6288 5.8067
C 1.8542 4.4589 12.4837
C 0.0000 1.6288 0.8704
C 1.8542 4.4589 7.5474
Au 1.8542 1.3416 10.0156
Au 0.0000 4.7461 3.3385
Ce 1.8542 3.3133 1.3676
Ce 1.8542 3.3133 5.3094
Ce 0.0000 2.7744 11.9865
Ce 0.0000 2.7744 8.0447
Ce 1.8542 5.0658 10.0156
Ce 0.0000 1.0219 3.3385
Ce 1.8542 0.0000 0.0000
Ce 1.8542 0.0000 6.6770
```

Output
space-group type	Cmcm
size of the total moment	1.79	μB per formula unit
E_tot	-6.7584	eV per atom

---

2.
Ce3AuC: optimized geometry, PBE.

Structure (extended XYZ):
```
5
Lattice="-3.9795 0.4086 -2.8298 -2.2488 -3.4423 2.6655 -1.7656 3.4634 2.9831" Properties=species:S:1:pos:R:3 pbc="T T T"
C 0.0000 0.0000 0.0000
Au -3.9970 0.2149 1.4094
Ce -1.1244 -1.7211 1.3327
Ce -0.8828 1.7317 1.4915
Ce -1.9898 0.2043 -1.4149
```

Output
space-group type	Pm-3m
size of the total moment	1.39	μB per formula unit
E_tot	-6.3285	eV per atom
relative energy among the computed polymorphs	0.0956	eV/atom

---

| no. | energy of formation from the pure elements (meV per atom) |
| --- | --- |
| 1 | -264 |
| 2 | -268 |